[1]
# RbTlBi3 | the Alexandria database | PBE | relaxed
data_RbTlBi3
_space_group_name_H-M_alt 'P m -3 m'
_space_group_IT_number 221
_space_group_name_Hall '-P 4 2 3'
_cell_length_a 6.233
_cell_length_b 6.233
_cell_length_c 6.233
_cell_angle_alpha 90.00
_cell_angle_beta 90.00
_cell_angle_gamma 90.00
loop_
_atom_site_label
_atom_site_type_symbol
_atom_site_fract_x
_atom_site_fract_y
_atom_site_fract_z
Rb1 Rb 0.000 0.000 0.000
Tl1 Tl 0.500 0.500 0.500
Bi1 Bi 0.000 0.000 0.500
# Total DFT energy (no corrections): -1.9921 eV/atom

[2]
# RbTl3Bi | the Alexandria database | PBE | relaxed
data_RbTl3Bi
_space_group_name_H-M_alt 'P m -3 m'
_space_group_IT_number 221
_space_group_name_Hall '-P 4 2 3'
_cell_length_a 6.256
_cell_length_b 6.256
_cell_length_c 6.256
_cell_angle_alpha 90.00
_cell_angle_beta 90.00
_cell_angle_gamma 90.00
loop_
_atom_site_label
_atom_site_type_symbol
_atom_site_fract_x
_atom_site_fract_y
_atom_site_fract_z
Rb1 Rb 0.000 0.000 0.000
Tl1 Tl 0.000 0.500 0.500
Bi1 Bi 0.500 0.500 0.500
# Total DFT energy (no corrections): -2.2347 eV/atom

no.,spin magnetization (μB per cell),formation enthalpy at 0 K (eV/atom),polymorph energy (0 for the lowest one) (eV/f.u.)
1,0.00,1.0033,5.47
2,0.00,0.1548,1.34